# Pm2BeTl (PBE-GGA, relaxed)
# * mass density: 8.2 g cm⁻³
data_Pm2BeTl
_cell_length_a 3.636
_cell_length_b 3.636
_cell_length_c 7.685
_cell_angle_alpha 90.00
_cell_angle_beta 90.00
_cell_angle_gamma 90.00
_symmetry_space_group_name_H-M 'P 4/m m m'
_symmetry_Int_Tables_number 123
_symmetry_space_group_name_Hall '-P 4 2'
loop_
_atom_site_label
_atom_site_fract_x
_atom_site_fract_y
_atom_site_fract_z
_atom_site_occupancy
Pm1 0.000 0.000 0.217 1
Be1 0.500 0.500 0.000 1
Tl1 0.500 0.500 0.500 1

# PmTmBe (PBE-GGA, relaxed)
# * mass density: 6.8 g cm⁻³
data_PmTmBe
_cell_length_a 9.656
_cell_length_b 4.788
_cell_length_c 6.796
_cell_angle_alpha 90.00
_cell_angle_beta 90.00
_cell_angle_gamma 90.00
_symmetry_space_group_name_H-M 'P n m a'
_symmetry_Int_Tables_number 62
_symmetry_space_group_name_Hall '-P 2ac 2n'
loop_
_atom_site_label
_atom_site_fract_x
_atom_site_fract_y
_atom_site_fract_z
_atom_site_occupancy
Pm1 0.134 0.250 0.010 1
Tm1 0.119 0.250 0.511 1
Be1 0.126 0.750 0.260 1

# Pm2TmBe (PBE-GGA, relaxed)
# * mass density: 7.2 g cm⁻³
data_Pm2TmBe
_cell_length_a 3.554
_cell_length_b 3.554
_cell_length_c 8.528
_cell_angle_alpha 90.00
_cell_angle_beta 90.00
_cell_angle_gamma 90.00
_symmetry_space_group_name_H-M 'P 4/m m m'
_symmetry_Int_Tables_number 123
_symmetry_space_group_name_Hall '-P 4 2'
loop_
_atom_site_label
_atom_site_fract_x
_atom_site_fract_y
_atom_site_fract_z
_atom_site_occupancy
Pm1 0.000 0.000 0.199 1
Tm1 0.500 0.500 0.500 1
Be1 0.500 0.500 0.000 1

# PmTmBe4 (PBE-GGA, relaxed)
# * mass density: 6.4 g cm⁻³
data_PmTmBe4
_cell_length_a 7.143
_cell_length_b 7.143
_cell_length_c 7.143
_cell_angle_alpha 90.00
_cell_angle_beta 90.00
_cell_angle_gamma 90.00
_symmetry_space_group_name_H-M 'F -4 3 m'
_symmetry_Int_Tables_number 216
_symmetry_space_group_name_Hall 'F -4 2 3'
loop_
_atom_site_label
_atom_site_fract_x
_atom_site_fract_y
_atom_site_fract_z
_atom_site_occupancy
Pm1 0.000 0.000 0.000 1
Tm1 0.250 0.250 0.250 1
Be1 0.125 0.125 0.625 1

# PmTmBe (PBE-GGA, relaxed)
# * mass density: 7.3 g cm⁻³
data_PmTmBe
_cell_length_a 3.487
_cell_length_b 3.487
_cell_length_c 12.053
_cell_angle_alpha 90.00
_cell_angle_beta 90.00
_cell_angle_gamma 90.00
_symmetry_space_group_name_H-M 'I 4 m m'
_symmetry_Int_Tables_number 107
_symmetry_space_group_name_Hall 'I 4 -2'
loop_
_atom_site_label
_atom_site_fract_x
_atom_site_fract_y
_atom_site_fract_z
_atom_site_occupancy
Pm1 0.000 0.000 0.000 1
Tm1 0.000 0.000 0.271 1
Be1 0.000 0.000 0.648 1

# Pm2TmBe (PBE-GGA, relaxed)
# * mass density: 6.5 g cm⁻³
data_Pm2TmBe
_cell_length_a 3.4508
_cell_length_b 3.4508
_cell_length_c 34.6654
_cell_angle_alpha 90.00
_cell_angle_beta 90.00
_cell_angle_gamma 120.00
_symmetry_space_group_name_H-M 'R -3 m'
_symmetry_Int_Tables_number 166
_symmetry_space_group_name_Hall '-R 3 2"'
loop_
_atom_site_label
_atom_site_fract_x
_atom_site_fract_y
_atom_site_fract_z
_atom_site_occupancy
Pm1 0.0000 0.0000 0.0848 1
Tm1 0.0000 0.0000 0.5000 1
Be1 0.0000 0.0000 0.0000 1

# PmBe17W (PBE-GGA, relaxed)
# * mass density: 4.5 g cm⁻³
data_PmBe17W
_cell_length_a 7.5230
_cell_length_b 7.5230
_cell_length_c 10.9788
_cell_angle_alpha 90.00
_cell_angle_beta 90.00
_cell_angle_gamma 120.00
_symmetry_space_group_name_H-M 'R 3 m'
_symmetry_Int_Tables_number 160
_symmetry_space_group_name_Hall 'R 3 -2"'
loop_
_atom_site_label
_atom_site_fract_x
_atom_site_fract_y
_atom_site_fract_z
_atom_site_occupancy
Pm1 0.0000 0.0000 0.0000 1
Be1 0.0000 0.0000 0.5595 1
Be2 0.0000 0.0000 0.7507 1
Be3 0.0048 0.5024 0.1591 1
Be4 0.0495 0.3770 0.3282 1
Be5 0.1691 0.3383 0.1545 1
Be6 0.1709 0.3418 0.8394 1
W1 0.0000 0.0000 0.3259 1

# Pm2YBe (PBE-GGA, relaxed)
# * mass density: 5.8 g cm⁻³
data_Pm2YBe
_cell_length_a 3.575
_cell_length_b 3.575
_cell_length_c 8.622
_cell_angle_alpha 90.00
_cell_angle_beta 90.00
_cell_angle_gamma 90.00
_symmetry_space_group_name_H-M 'P 4/m m m'
_symmetry_Int_Tables_number 123
_symmetry_space_group_name_Hall '-P 4 2'
loop_
_atom_site_label
_atom_site_fract_x
_atom_site_fract_y
_atom_site_fract_z
_atom_site_occupancy
Pm1 0.000 0.000 0.195 1
Y1 0.500 0.500 0.500 1
Be1 0.500 0.500 0.000 1

# Pm2YBe (PBE-GGA, relaxed)
# * mass density: 5.3 g cm⁻³
data_Pm2YBe
_cell_length_a 3.4843
_cell_length_b 3.4843
_cell_length_c 34.9175
_cell_angle_alpha 90.00
_cell_angle_beta 90.00
_cell_angle_gamma 120.00
_symmetry_space_group_name_H-M 'R -3 m'
_symmetry_Int_Tables_number 166
_symmetry_space_group_name_Hall '-R 3 2"'
loop_
_atom_site_label
_atom_site_fract_x
_atom_site_fract_y
_atom_site_fract_z
_atom_site_occupancy
Pm1 0.0000 0.0000 0.0842 1
Y1 0.0000 0.0000 0.5000 1
Be1 0.0000 0.0000 0.0000 1

# PmYBe (PBE-GGA, relaxed)
# * mass density: 5.3 g cm⁻³
data_PmYBe
_cell_length_a 3.525
_cell_length_b 3.525
_cell_length_c 12.188
_cell_angle_alpha 90.00
_cell_angle_beta 90.00
_cell_angle_gamma 90.00
_symmetry_space_group_name_H-M 'I 4 m m'
_symmetry_Int_Tables_number 107
_symmetry_space_group_name_Hall 'I 4 -2'
loop_
_atom_site_label
_atom_site_fract_x
_atom_site_fract_y
_atom_site_fract_z
_atom_site_occupancy
Pm1 0.000 0.000 0.000 1
Y1 0.000 0.000 0.731 1
Be1 0.000 0.000 0.358 1

# PmYBe2 (PBE-GGA, relaxed)
# * mass density: 5.0 g cm⁻³
data_PmYBe2
_cell_length_a 6.922
_cell_length_b 6.922
_cell_length_c 6.922
_cell_angle_alpha 90.00
_cell_angle_beta 90.00
_cell_angle_gamma 90.00
_symmetry_space_group_name_H-M 'F m -3 m'
_symmetry_Int_Tables_number 225
_symmetry_space_group_name_Hall '-F 4 2 3'
loop_
_atom_site_label
_atom_site_fract_x
_atom_site_fract_y
_atom_site_fract_z
_atom_site_occupancy
Pm1 0.000 0.000 0.000 1
Y1 0.000 0.000 0.500 1
Be1 0.250 0.250 0.250 1

# PmYBe2 (PBE-GGA, relaxed)
# * mass density: 5.1 g cm⁻³
data_PmYBe2
_cell_length_a 4.889
_cell_length_b 4.889
_cell_length_c 3.457
_cell_angle_alpha 90.00
_cell_angle_beta 90.00
_cell_angle_gamma 90.00
_symmetry_space_group_name_H-M 'P 4/m m m'
_symmetry_Int_Tables_number 123
_symmetry_space_group_name_Hall '-P 4 2'
loop_
_atom_site_label
_atom_site_fract_x
_atom_site_fract_y
_atom_site_fract_z
_atom_site_occupancy
Pm1 0.000 0.000 0.000 1
Y1 0.500 0.500 0.000 1
Be1 0.000 0.500 0.500 1

# PmYBeZn (PBE-GGA, relaxed)
# * mass density: 5.7 g cm⁻³
data_PmYBeZn
_cell_length_a 7.096
_cell_length_b 7.096
_cell_length_c 7.096
_cell_angle_alpha 90.00
_cell_angle_beta 90.00
_cell_angle_gamma 90.00
_symmetry_space_group_name_H-M 'F -4 3 m'
_symmetry_Int_Tables_number 216
_symmetry_space_group_name_Hall 'F -4 2 3'
loop_
_atom_site_label
_atom_site_fract_x
_atom_site_fract_y
_atom_site_fract_z
_atom_site_occupancy
Pm1 0.000 0.000 0.000 1
Y1 0.000 0.000 0.500 1
Be1 0.250 0.250 0.250 1
Zn1 0.250 0.250 0.750 1

# PmBeZn (PBE-GGA, relaxed)
# * mass density: 6.2 g cm⁻³
data_PmBeZn
_cell_length_a 6.285
_cell_length_b 11.058
_cell_length_c 6.748
_cell_angle_alpha 90.00
_cell_angle_beta 90.00
_cell_angle_gamma 90.00
_symmetry_space_group_name_H-M 'F m m 2'
_symmetry_Int_Tables_number 42
_symmetry_space_group_name_Hall 'F 2 -2'
loop_
_atom_site_label
_atom_site_fract_x
_atom_site_fract_y
_atom_site_fract_z
_atom_site_occupancy
Pm1 0.000 0.246 0.000 1
Be1 0.178 0.000 0.997 1
Zn1 0.000 0.000 0.302 1
Zn2 0.000 0.000 0.694 1

# Pm2BeZn (PBE-GGA, relaxed)
# * mass density: 5.6 g cm⁻³
data_Pm2BeZn
_cell_length_a 3.3974
_cell_length_b 3.3974
_cell_length_c 32.1936
_cell_angle_alpha 90.00
_cell_angle_beta 90.00
_cell_angle_gamma 120.00
_symmetry_space_group_name_H-M 'R -3 m'
_symmetry_Int_Tables_number 166
_symmetry_space_group_name_Hall '-R 3 2"'
loop_
_atom_site_label
_atom_site_fract_x
_atom_site_fract_y
_atom_site_fract_z
_atom_site_occupancy
Pm1 0.0000 0.0000 0.0931 1
Be1 0.0000 0.0000 0.0000 1
Zn1 0.0000 0.0000 0.5000 1

# Pm2BeZn (PBE-GGA, relaxed)
# * mass density: 6.6 g cm⁻³
data_Pm2BeZn
_cell_length_a 3.560
_cell_length_b 3.560
_cell_length_c 7.224
_cell_angle_alpha 90.00
_cell_angle_beta 90.00
_cell_angle_gamma 90.00
_symmetry_space_group_name_H-M 'P 4/m m m'
_symmetry_Int_Tables_number 123
_symmetry_space_group_name_Hall '-P 4 2'
loop_
_atom_site_label
_atom_site_fract_x
_atom_site_fract_y
_atom_site_fract_z
_atom_site_occupancy
Pm1 0.000 0.000 0.232 1
Be1 0.500 0.500 0.000 1
Zn1 0.500 0.500 0.500 1

# Pm2BeZn (PBE-GGA, relaxed)
# * mass density: 6.6 g cm⁻³
data_Pm2BeZn
_cell_length_a 7.163
_cell_length_b 7.163
_cell_length_c 7.163
_cell_angle_alpha 90.00
_cell_angle_beta 90.00
_cell_angle_gamma 90.00
_symmetry_space_group_name_H-M 'F m -3 m'
_symmetry_Int_Tables_number 225
_symmetry_space_group_name_Hall '-F 4 2 3'
loop_
_atom_site_label
_atom_site_fract_x
_atom_site_fract_y
_atom_site_fract_z
_atom_site_occupancy
Pm1 0.250 0.250 0.250 1
Be1 0.000 0.000 0.000 1
Zn1 0.000 0.000 0.500 1

# PmBeZn11 (PBE-GGA, relaxed)
# * mass density: 7.2 g cm⁻³
data_PmBeZn11
_cell_length_a 5.213
_cell_length_b 12.397
_cell_length_c 6.704
_cell_angle_alpha 90.00
_cell_angle_beta 112.24
_cell_angle_gamma 90.00
_symmetry_space_group_name_H-M 'C 1 2/m 1'
_symmetry_Int_Tables_number 12
_symmetry_space_group_name_Hall '-C 2y'
loop_
_atom_site_label
_atom_site_fract_x
_atom_site_fract_y
_atom_site_fract_z
_atom_site_occupancy
Pm1 0.000 0.000 0.000 1
Be1 0.000 0.500 0.500 1
Zn1 0.000 0.000 0.500 1
Zn2 0.102 0.392 0.225 1
Zn3 0.191 0.174 0.358 1
Zn4 0.250 0.250 0.000 1

# PmBeZn (PBE-GGA, relaxed)
# * mass density: 6.1 g cm⁻³
data_PmBeZn
_cell_length_a 4.2852
_cell_length_b 4.2852
_cell_length_c 3.7419
_cell_angle_alpha 90.00
_cell_angle_beta 90.00
_cell_angle_gamma 120.00
_symmetry_space_group_name_H-M 'P -6 m 2'
_symmetry_Int_Tables_number 187
_symmetry_space_group_name_Hall 'P -6 2'
loop_
_atom_site_label
_atom_site_fract_x
_atom_site_fract_y
_atom_site_fract_z
_atom_site_occupancy
Pm1 0.0000 0.0000 0.0000 1
Be1 0.3333 0.6667 0.5000 1
Zn1 0.6667 0.3333 0.5000 1

# PmZrBe17 (PBE-GGA, relaxed)
# * mass density: 3.4 g cm⁻³
data_PmZrBe17
_cell_length_a 7.6675
_cell_length_b 7.6675
_cell_length_c 11.1967
_cell_angle_alpha 90.00
_cell_angle_beta 90.00
_cell_angle_gamma 120.00
_symmetry_space_group_name_H-M 'R 3 m'
_symmetry_Int_Tables_number 160
_symmetry_space_group_name_Hall 'R 3 -2"'
loop_
_atom_site_label
_atom_site_fract_x
_atom_site_fract_y
_atom_site_fract_z
_atom_site_occupancy
Pm1 0.0000 0.0000 0.0000 1
Zr1 0.0000 0.0000 0.6750 1
Be1 0.0000 0.0000 0.2463 1
Be2 0.0000 0.0000 0.4366 1
Be3 0.0003 0.5001 0.4980 1
Be4 0.0022 0.2817 0.3386 1
Be5 0.0045 0.5023 0.1777 1
Be6 0.1691 0.3382 0.1743 1

So what do the calculations give for energy relative to the elements? Going down the list: -0.10, 0.29, 0.12, 0.12, 0.11, 0.68, -0.07, 0.11, 0.69, 0.11, 0.14, 0.14, -0.08, 0.20, 0.64, -0.07, -0.06, -0.17, -0.08, -0.16 eV per atom.
So what do the calculations give for DOS(E_F)? Going down the list: 2.5, 3.9, 4.4, 3.5, 3.1, 4.1, 2.6, 4.6, 4.5, 3.1, 4.6, 3.2, 4.7, 1.6, 4.3, 3.6, 4.0, 1.4, 3.3, 3.9 states/eV/f.u..